Record 1
Density functional theory data (PBE-GGA) for an optimized crystal structure of Nd6GeP2S3.

a = 18.105 Å, b = 4.159 Å, c = 8.297 Å
α = 90.00°, β = 103.23°, γ = 90.00°
Space group C2/m (No. 12)
Inequivalent atoms, fractional coordinates:
1 Nd 0.001 0.000 0.251 [4 per cell]
2 Nd 0.167 0.500 0.088 [4 per cell]
3 Nd 0.169 0.500 0.579 [4 per cell]
4 Ge 0.000 0.500 0.000 [2 per cell]
5 P 0.167 0.000 0.334 [4 per cell]
6 S 0.000 0.500 0.500 [2 per cell]
7 S 0.167 0.000 0.832 [4 per cell]

Properties
- V: 304.1 Å³/f.u.
- Raw formation energy: -1.716 eV per atom
- Fermi-level density of states: 7.9 states/eV per cell
- E_tot: -6.418 eV/atom
- Spin magnetization: 0.000 μB/atom



Record 2
Density functional theory data (PBE-GGA) for an optimized crystal structure of Nd6Ge2PS3.

a = 18.199 Å, b = 4.185 Å, c = 8.352 Å
α = 90.00°, β = 103.02°, γ = 90.00°
Space group C2/m (No. 12)
Inequivalent atoms, fractional coordinates:
1 Nd 0.001 0.000 0.245 [4 per cell]
2 Nd 0.165 0.500 0.082 [4 per cell]
3 Nd 0.166 0.500 0.584 [4 per cell]
4 Ge 0.166 0.000 0.332 [4 per cell]
5 P 0.000 0.500 0.000 [2 per cell]
6 S 0.000 0.500 0.500 [2 per cell]
7 S 0.166 0.000 0.834 [4 per cell]

Properties
- V: 309.9 Å³/f.u.
- Raw formation energy: -1.586 eV per atom
- Fermi-level density of states: 4.6 states/eV per cell
- E_tot: -6.222 eV/atom
- Spin magnetization: 0.000 μB/atom



Record 3
Density functional theory data (PBE-GGA) for an optimized crystal structure of Nd4GePS2.

a = 7.204 Å, b = 4.172 Å, c = 7.221 Å
α = 90.00°, β = 109.50°, γ = 90.00°
Space group P2/m (No. 10)
Inequivalent atoms, fractional coordinates:
1 Nd 0.245 0.000 0.246 [2 per cell]
2 Nd 0.248 0.500 0.752 [2 per cell]
3 Ge 0.000 0.000 0.500 [1 per cell]
4 P 0.000 0.500 0.000 [1 per cell]
5 S 0.500 0.000 0.000 [1 per cell]
6 S 0.500 0.500 0.500 [1 per cell]

Properties
- V: 204.6 Å³/f.u.
- Raw formation energy: -1.655 eV per atom
- Fermi-level density of states: 1.5 states/eV per cell
- E_tot: -6.325 eV/atom
- Spin magnetization: 0.000 μB/atom



Record 4
Density functional theory data (PBE-GGA) for an optimized crystal structure of Nd8GeP3S4.

a = 8.2967 Å, b = 8.2967 Å, c = 20.2988 Å
α = 90.00°, β = 90.00°, γ = 120.00°
Space group R-3m (No. 166, hexagonal axes)
Inequivalent atoms, fractional coordinates:
1 Nd 0.0000 0.0000 0.2474 [6 per cell]
2 Nd 0.0022 0.5011 0.7515 [18 per cell]
3 Ge 0.0000 0.0000 0.5000 [3 per cell]
4 P 0.0000 0.5000 0.5000 [9 per cell]
5 S 0.0000 0.0000 0.0000 [3 per cell]
6 S 0.0000 0.5000 0.0000 [9 per cell]

Properties
- V: 403.4 Å³/f.u.
- Raw formation energy: -1.751 eV per atom
- Fermi-level density of states: 12.6 states/eV per cell
- E_tot: -6.470 eV/atom
- Spin magnetization: 0.000 μB/atom



Record 5
Density functional theory data (PBE-GGA) for an optimized crystal structure of Nd8GeP3Se4.

a = 8.4123 Å, b = 8.4123 Å, c = 20.9006 Å
α = 90.00°, β = 90.00°, γ = 120.00°
Space group R-3m (No. 166, hexagonal axes)
Inequivalent atoms, fractional coordinates:
1 Nd 0.0000 0.0000 0.2435 [6 per cell]
2 Nd 0.0023 0.5012 0.7552 [18 per cell]
3 Ge 0.0000 0.0000 0.5000 [3 per cell]
4 P 0.0000 0.5000 0.5000 [9 per cell]
5 Se 0.0000 0.0000 0.0000 [3 per cell]
6 Se 0.0000 0.5000 0.0000 [9 per cell]

Properties
- V: 427.0 Å³/f.u.
- Raw formation energy: -1.688 eV per atom
- Fermi-level density of states: 15.0 states/eV per cell
- E_tot: -6.246 eV/atom
- Spin magnetization: 0.000 μB/atom



Record 6
Density functional theory data (PBE-GGA) for an optimized crystal structure of Nd6Ge2P3Se.

a = 18.452 Å, b = 4.169 Å, c = 8.534 Å
α = 90.00°, β = 103.79°, γ = 90.00°
Space group C2/m (No. 12)
Inequivalent atoms, fractional coordinates:
1 Nd 0.001 0.000 0.241 [4 per cell]
2 Nd 0.164 0.500 0.091 [4 per cell]
3 Nd 0.169 0.500 0.577 [4 per cell]
4 Ge 0.167 0.000 0.833 [4 per cell]
5 P 0.000 0.500 0.000 [2 per cell]
6 P 0.165 0.000 0.334 [4 per cell]
7 Se 0.000 0.500 0.500 [2 per cell]

Properties
- V: 318.8 Å³/f.u.
- Raw formation energy: -1.348 eV per atom
- Fermi-level density of states: 9.7 states/eV per cell
- E_tot: -6.144 eV/atom
- Spin magnetization: 0.000 μB/atom



Record 7
Density functional theory data (PBE-GGA) for an optimized crystal structure of Nd6Ge2PSe3.

a = 18.589 Å, b = 4.252 Å, c = 8.540 Å
α = 90.00°, β = 103.61°, γ = 90.00°
Space group C2/m (No. 12)
Inequivalent atoms, fractional coordinates:
1 Nd 0.003 0.000 0.240 [4 per cell]
2 Nd 0.163 0.500 0.088 [4 per cell]
3 Nd 0.168 0.500 0.578 [4 per cell]
4 Ge 0.166 0.000 0.332 [4 per cell]
5 P 0.000 0.500 0.000 [2 per cell]
6 Se 0.000 0.500 0.500 [2 per cell]
7 Se 0.166 0.000 0.834 [4 per cell]

Properties
- V: 328.0 Å³/f.u.
- Raw formation energy: -1.532 eV per atom
- Fermi-level density of states: 4.2 states/eV per cell
- E_tot: -6.008 eV/atom
- Spin magnetization: 0.000 μB/atom



Record 8
Density functional theory data (PBE-GGA) for an optimized crystal structure of Nd4GePSe2.

a = 7.332 Å, b = 4.238 Å, c = 7.386 Å
α = 90.00°, β = 109.32°, γ = 90.00°
Space group P2/m (No. 10)
Inequivalent atoms, fractional coordinates:
1 Nd 0.243 0.000 0.234 [2 per cell]
2 Nd 0.252 0.500 0.762 [2 per cell]
3 Ge 0.500 0.000 0.000 [1 per cell]
4 P 0.000 0.500 0.000 [1 per cell]
5 Se 0.000 0.000 0.500 [1 per cell]
6 Se 0.500 0.500 0.500 [1 per cell]

Properties
- V: 216.6 Å³/f.u.
- Raw formation energy: -1.598 eV per atom
- Fermi-level density of states: 1.4 states/eV per cell
- E_tot: -6.106 eV/atom
- Spin magnetization: 0.000 μB/atom



Record 9
Density functional theory data (PBE-GGA) for an optimized crystal structure of Nd4GeP2Se.

a = 7.318 Å, b = 4.187 Å, c = 7.330 Å
α = 90.00°, β = 109.15°, γ = 90.00°
Space group P2/m (No. 10)
Inequivalent atoms, fractional coordinates:
1 Nd 0.241 0.000 0.238 [2 per cell]
2 Nd 0.252 0.500 0.760 [2 per cell]
3 Ge 0.000 0.000 0.500 [1 per cell]
4 P 0.000 0.500 0.000 [1 per cell]
5 P 0.500 0.000 0.000 [1 per cell]
6 Se 0.500 0.500 0.500 [1 per cell]

Properties
- V: 212.1 Å³/f.u.
- Raw formation energy: -1.480 eV per atom
- Fermi-level density of states: 1.4 states/eV per cell
- E_tot: -6.229 eV/atom
- Spin magnetization: 0.000 μB/atom



Record 10
Density functional theory data (PBE-GGA) for an optimized crystal structure of Nd8Ge3Te3P.

a = 8.6631 Å, b = 8.6631 Å, c = 21.8919 Å
α = 90.00°, β = 90.00°, γ = 120.00°
Space group R-3m (No. 166, hexagonal axes)
Inequivalent atoms, fractional coordinates:
1 Nd 0.0000 0.0000 0.2417 [6 per cell]
2 Nd 0.0060 0.5030 0.2394 [18 per cell]
3 Ge 0.0000 0.5000 0.5000 [9 per cell]
4 Te 0.0000 0.5000 0.0000 [9 per cell]
5 P 0.0000 0.0000 0.5000 [3 per cell]

Properties
- V: 474.3 Å³/f.u.
- Raw formation energy: -1.148 eV per atom
- Fermi-level density of states: 20.4 states/eV per cell
- E_tot: -5.603 eV/atom
- Spin magnetization: 0.088 μB/atom



Record 11
Density functional theory data (PBE-GGA) for an optimized crystal structure of Nd6Ge2TeP3.

a = 18.697 Å, b = 4.197 Å, c = 8.666 Å
α = 90.00°, β = 104.44°, γ = 90.00°
Space group C2/m (No. 12)
Inequivalent atoms, fractional coordinates:
1 Nd 0.002 0.000 0.230 [4 per cell]
2 Nd 0.165 0.500 0.092 [4 per cell]
3 Nd 0.173 0.500 0.579 [4 per cell]
4 Ge 0.167 0.000 0.835 [4 per cell]
5 Te 0.000 0.500 0.500 [2 per cell]
6 P 0.000 0.500 0.000 [2 per cell]
7 P 0.164 0.000 0.334 [4 per cell]

Properties
- V: 329.3 Å³/f.u.
- Raw formation energy: -1.267 eV per atom
- Fermi-level density of states: 9.9 states/eV per cell
- E_tot: -6.035 eV/atom
- Spin magnetization: 0.000 μB/atom



Record 12
Density functional theory data (PBE-GGA) for an optimized crystal structure of Nd8Ge3Te4P.

a = 8.7115 Å, b = 8.7115 Å, c = 21.9690 Å
α = 90.00°, β = 90.00°, γ = 120.00°
Space group R-3m (No. 166, hexagonal axes)
Inequivalent atoms, fractional coordinates:
1 Nd 0.0000 0.0000 0.2419 [6 per cell]
2 Nd 0.0017 0.5009 0.2404 [18 per cell]
3 Ge 0.0000 0.5000 0.5000 [9 per cell]
4 Te 0.0000 0.0000 0.0000 [3 per cell]
5 Te 0.0000 0.5000 0.0000 [9 per cell]
6 P 0.0000 0.0000 0.5000 [3 per cell]

Properties
- V: 481.3 Å³/f.u.
- Raw formation energy: -1.313 eV per atom
- Fermi-level density of states: 11.1 states/eV per cell
- E_tot: -5.687 eV/atom
- Spin magnetization: 0.000 μB/atom



Which value of Fermi-level density of states does entry 3 give?
1.5 states/eV per cell